No. 1
Computed, not measured: a relaxed LiCoW2 crystal at the PBE level of DFT.

Computed properties:
Its distance to the lowest polymorph of the same formula is 0.111 eV per atom. The formation energy comes out at 0.401 eV/atom. The calculation puts the total energy at -8.33 eV per atom.

Cell lengths 9.476, 9.476, 9.476 Å; angles 16.46, 16.46, 16.46 degrees
Sites, in units of the cell vectors:
Co 0.250 0.250 0.250
Li 0.750 0.750 0.750
W 0.993 0.993 0.993
W 0.507 0.507 0.507

=====

No. 2
Computed, not measured: a relaxed LiCoW2 crystal at the PBE level of DFT.

Computed properties:
Its distance to the lowest polymorph of the same formula is 0.020 eV per atom. The formation energy comes out at 0.310 eV/atom. The calculation puts the total energy at -8.42 eV per atom.

Cell lengths 4.227, 2.642, 4.877 Å; angles 82.58, 90.00, 90.00 degrees
Sites, in units of the cell vectors:
Co 0.000 0.586 0.492
Li 0.500 0.660 0.759
W 0.000 0.016 0.972
W 0.500 0.239 0.276

=====

No. 3
Computed, not measured: a relaxed LiCoW2 crystal at the PBE level of DFT.

Computed properties:
Its distance to the lowest polymorph of the same formula is 0.130 eV per atom. The formation energy comes out at 0.421 eV/atom. The calculation puts the total energy at -8.31 eV per atom.

Cell lengths 3.173, 3.173, 5.497 Å; angles 90.00, 90.00, 90.00 degrees
Sites, in units of the cell vectors:
Co 0.000 0.000 0.522
Li 0.500 0.500 0.733
W 0.000 0.000 0.992
W 0.500 0.500 0.254

=====

No. 4
Computed, not measured: a relaxed LiCo2W crystal at the PBE level of DFT.

Computed properties:
The formation energy comes out at 0.306 eV/atom. The calculation puts the total energy at -6.96 eV per atom.

Cell lengths 2.593, 2.593, 7.971 Å; angles 90.00, 90.00, 98.18 degrees
Sites, in units of the cell vectors:
Co 0.000 0.000 0.024
Co 0.500 0.500 0.225
Li 0.000 0.000 0.477
W 0.500 0.500 0.775